A geometry-optimized Zr2AsRu structure, computed with GGA-PBE.

Geometry as CIF:
```
data_Zr2AsRu
_space_group_name_H-M_alt 'R -3 m'
_space_group_IT_number 166
_space_group_name_Hall '-R 3 2"'
_cell_length_a 3.6150
_cell_length_b 3.6150
_cell_length_c 21.1607
_cell_angle_alpha 90.00
_cell_angle_beta 90.00
_cell_angle_gamma 120.00
loop_
_atom_site_label
_atom_site_type_symbol
_atom_site_fract_x
_atom_site_fract_y
_atom_site_fract_z
Zr1 Zr 0.0000 0.0000 0.2503
As1 As 0.0000 0.0000 0.5000
Ru1 Ru 0.0000 0.0000 0.0000
```

The value obtained for the electronic total energy is -8.2677 eV/atom. The formation energy is -512 meV/atom. Its size of the total moment is 0.0 μB/f.u.